80
Lattice="-0.529 -10.842 -0.707 8.407 2.817 6.303 -9.221 3.805 4.340" Properties=species:S:1:pos:R:3 comment="Ca3Fe5O12 | Alexandria | PBE with a Hubbard U | optimized geometry" sg=Ia-3d volume_a3_per_cell=991 total_energy_ev_per_fu=-129.40 pbc="T T T"
Fe -2.743 0.724 4.899
Ca 0.344 0.425 7.174
Ca 4.690 -6.898 4.651
O 0.508 -0.523 4.784
Fe -2.094 -1.334 8.083
Fe 4.203 1.409 3.151
O -1.797 2.915 9.589
Ca -4.094 -2.866 5.177
O -7.951 -6.195 3.667
O -1.447 1.696 5.826
Fe 0.000 0.000 0.000
Fe -0.407 3.311 5.321
O 2.853 -5.252 3.907
Ca 0.374 3.963 8.681
O 0.626 1.695 9.398
O -3.030 -3.052 1.247
O -1.221 4.179 6.912
Ca -1.717 -8.184 1.254
O -1.851 -3.698 5.152
O 1.656 -5.463 6.811
O 0.104 -5.916 4.110
O -2.329 -1.074 4.617
O -2.999 1.242 3.125
O -4.196 1.032 6.029
O 0.454 -7.135 0.347
Ca -6.033 2.678 5.285
O -1.969 -5.915 0.538
Fe -4.124 -6.405 3.670
Fe -6.063 -0.860 3.778
O -1.614 0.408 8.549
Fe 2.781 2.184 6.266
Fe -7.414 -4.450 4.055
O 1.687 -1.168 8.689
O -3.920 -4.497 6.919
O -5.868 0.953 3.379
O -3.801 -1.514 7.350
O 4.876 0.071 4.456
O 2.683 0.366 6.676
Ca 1.196 -3.289 7.697
O -2.338 -6.863 3.377
O -0.366 0.413 1.908
Fe 4.720 -3.360 6.158
Fe -2.124 -4.873 6.576
Ca -1.687 -4.645 2.761
Ca 2.751 -1.354 4.759
Fe -0.671 -2.110 4.968
O -6.219 -4.291 5.480
O -5.855 -1.298 5.580
Fe 1.400 -4.944 5.037
O 0.271 -4.628 1.387
O 0.986 -3.146 5.319
O 0.996 2.643 6.558
Ca 1.603 -6.600 2.376
O 2.898 -8.267 3.852
Fe -0.264 -5.421 -0.353
O 2.577 0.277 3.017
O -0.689 -1.717 6.915
O -0.122 -8.400 3.024
Fe 0.751 -2.886 1.853
O 4.512 -2.922 4.356
O 3.406 -2.248 6.879
O 4.525 -5.173 6.557
Fe 3.939 -4.012 2.798
O -5.362 -7.374 2.665
Fe -4.610 1.902 2.170
O -8.293 2.099 4.758
Ca -2.539 -0.932 2.239
O -0.654 -2.503 3.021
O -4.749 -1.973 3.057
Ca -2.946 2.379 7.560
O 6.950 -6.319 5.178
Fe 6.071 0.230 5.881
Fe -4.875 -3.519 1.817
O -4.241 4.047 6.083
O 4.019 3.154 7.271
O -4.025 -4.587 3.260
O 6.608 1.975 6.269
O 2.458 -2.706 2.586
Fe 0.781 0.652 3.360
O -0.976 -4.633 8.028